Entry from Alexandria: a geometry-optimized BeI2O structure (PBE).

It has space group Fm-3m (No. 225), with a = 6.631 Å, b = 6.631 Å, c = 6.631 Å, α = 90.00°, β = 90.00° and γ = 90.00°. The distinct sites, in fractional coordinates, are Be at (0.000, 0.000, 0.000), I at (0.250, 0.250, 0.250) and O at (0.000, 0.000, 0.500).

The value obtained for the energy above the most stable polymorph in this dataset is 0.617 eV per atom. Its uncorrected formation energy is 19.8 kcal/mol of atoms.

---

Entry from Alexandria: a geometry-optimized BeIO3 structure (PBE).

It has space group Pm-3m (No. 221), with a = 3.569 Å, b = 3.569 Å, c = 3.569 Å, α = 90.00°, β = 90.00° and γ = 90.00°. The distinct sites, in fractional coordinates, are Be at (0.000, 0.000, 0.000), I at (0.500, 0.500, 0.500) and O at (0.000, 0.000, 0.500).

Its uncorrected formation energy is -11.0 kcal/mol of atoms.